a.
This record from Alexandria via LeMat-Bulk describes a relaxed GaBiS3 crystal. The functional is PBE.

a b c (Å): 5.253 5.253 5.253
angles (deg): 90.00 90.00 90.00
Fractional positions:
Ga 0.000 0.000 0.000
Bi 0.500 0.500 0.500
S 0.000 0.500 0.500
S 0.500 0.000 0.500
S 0.500 0.500 0.000

Computed properties:
Crystal system: cubic
D(E_F), states/eV/atom: 1.258
Magnetization, μB per formula unit: 0.2

=====

b.
This record from Alexandria via LeMat-Bulk describes a relaxed GaBiS3 crystal. The functional is PBE.

a b c (Å): 3.658 5.987 5.987
angles (deg): 92.57 90.00 90.00
Fractional positions:
Ga 0.000 0.000 0.000
Bi 0.500 0.516 0.516
S 0.000 0.302 0.302
S 0.500 0.126 0.771
S 0.500 0.771 0.126

Computed properties:
Crystal system: orthorhombic
D(E_F), states/eV/atom: 0.111
Magnetization, μB per formula unit: 0.0

=====

Stability summary - winner: b; margin: 56.5 kJ/mol of atoms.